The following is a DFT calculation (PBE) of a relaxed structure of ZrBe9Re2.

Cell and atoms, written as POSCAR:
```
ZrBe9Re2
1.0
-3.161 2.861 1.174
-0.728 -2.877 -3.279
-5.011 -9.369 9.333
Re Zr Be
4 2 18
Direct
0.667 0.333 0.467
0.333 0.667 0.533
0.667 0.333 0.033
0.333 0.667 0.967
0.667 0.333 0.250
0.333 0.667 0.750
0.339 0.169 0.622
0.169 0.339 0.378
0.831 0.661 0.878
0.831 0.169 0.878
0.169 0.339 0.122
0.000 0.000 0.500
0.000 0.000 0.000
0.000 0.000 0.750
0.000 0.000 0.250
0.667 0.333 0.750
0.831 0.169 0.622
0.333 0.667 0.250
0.831 0.661 0.622
0.169 0.831 0.122
0.339 0.169 0.878
0.661 0.831 0.122
0.661 0.831 0.378
0.169 0.831 0.378
```

Summary:
E_form: -3.8 eV per formula unit
volume: 9.98 A^3/atom
SG: P6_3/mmc (194)
energy: -5.90 eV/atom